# 1
This record from Alexandria via LeMat-Bulk describes crystalline CdFe2AgCl8 at its relaxed geometry. The functional is PBE-GGA.

Values from the calculation:
Symmetry = No. 119
E_form (uncorrected) = -702 meV per atom

Unit cell a=7.398 b=7.398 c=7.398 alpha=108.00 beta=108.00 gamma=112.47
Element x y z (fractional)
Cd (0.000, 0.000, 0.000)
Fe (0.250, 0.750, 0.500)
Fe (0.500, 0.500, 0.000)
Ag (0.750, 0.250, 0.500)
Cl (0.075, 0.376, 0.301)
Cl (0.075, 0.774, 0.699)
Cl (0.128, 0.322, 0.806)
Cl (0.226, 0.925, 0.301)
Cl (0.516, 0.322, 0.194)
Cl (0.624, 0.925, 0.699)
Cl (0.678, 0.484, 0.806)
Cl (0.678, 0.872, 0.194)

# 2
This record from Alexandria via LeMat-Bulk describes crystalline CdAg2GeCl6 at its relaxed geometry. The functional is PBE-GGA.

Values from the calculation:
Symmetry = No. 146
E_form (uncorrected) = -711 meV per atom

Unit cell a=7.297 b=7.297 c=7.297 alpha=56.11 beta=56.11 gamma=56.11
Element x y z (fractional)
Cd (0.000, 0.000, 0.000)
Ag (0.298, 0.298, 0.298)
Ag (0.792, 0.792, 0.792)
Ge (0.501, 0.501, 0.501)
Cl (0.106, 0.385, 0.727)
Cl (0.225, 0.888, 0.608)
Cl (0.385, 0.727, 0.106)
Cl (0.608, 0.225, 0.888)
Cl (0.727, 0.106, 0.385)
Cl (0.888, 0.608, 0.225)

# 3
This record from Alexandria via LeMat-Bulk describes crystalline CdAg2HgCl6 at its relaxed geometry. The functional is PBE-GGA.

Values from the calculation:
Symmetry = No. 1
E_form (uncorrected) = -645 meV per atom

Unit cell a=6.902 b=6.908 c=7.258 alpha=90.04 beta=118.32 gamma=119.93
Element x y z (fractional)
Cd (0.000, 0.000, 0.000)
Ag (0.573, 0.787, 0.359)
Ag (0.586, 0.293, 0.878)
Hg (0.009, 0.504, 0.513)
Cl (0.103, 0.210, 0.706)
Cl (0.103, 0.384, 0.205)
Cl (0.485, 0.102, 0.205)
Cl (0.498, 0.894, 0.706)
Cl (0.814, 0.604, 0.706)
Cl (0.821, 0.719, 0.205)

# 4
This record from Alexandria via LeMat-Bulk describes crystalline HoCdAgCl6 at its relaxed geometry. The functional is PBE-GGA.

Values from the calculation:
Symmetry = No. 163
E_form (uncorrected) = -1455 meV per atom

Unit cell a=6.747 b=6.747 c=12.274 alpha=90.00 beta=90.00 gamma=120.00
Element x y z (fractional)
Ho (0.333, 0.667, 0.250)
Ho (0.667, 0.333, 0.750)
Cd (0.333, 0.667, 0.750)
Cd (0.667, 0.333, 0.250)
Ag (0.000, 0.000, 0.000)
Ag (0.000, 0.000, 0.500)
Cl (0.003, 0.349, 0.129)
Cl (0.003, 0.653, 0.371)
Cl (0.347, 0.349, 0.371)
Cl (0.347, 0.997, 0.129)
Cl (0.349, 0.003, 0.629)
Cl (0.349, 0.347, 0.871)
Cl (0.651, 0.653, 0.129)
Cl (0.651, 0.997, 0.371)
Cl (0.653, 0.003, 0.871)
Cl (0.653, 0.651, 0.629)
Cl (0.997, 0.347, 0.629)
Cl (0.997, 0.651, 0.871)

# 5
This record from Alexandria via LeMat-Bulk describes crystalline CdAg2I2Cl2 at its relaxed geometry. The functional is PBE-GGA.

Values from the calculation:
Symmetry = No. 12
E_form (uncorrected) = -499 meV per atom

Unit cell a=14.335 b=4.317 c=6.984 alpha=90.00 beta=109.78 gamma=90.00
Element x y z (fractional)
Cd (0.000, 0.000, 0.000)
Cd (0.500, 0.500, 0.000)
Ag (0.246, 0.000, 0.751)
Ag (0.254, 0.500, 0.249)
Ag (0.746, 0.500, 0.751)
Ag (0.754, 0.000, 0.249)
I (0.107, 0.500, 0.835)
I (0.393, 0.000, 0.165)
I (0.607, 0.000, 0.835)
I (0.893, 0.500, 0.165)
Cl (0.150, 0.000, 0.338)
Cl (0.350, 0.500, 0.662)
Cl (0.650, 0.500, 0.338)
Cl (0.850, 0.000, 0.662)

# 6
This record from Alexandria via LeMat-Bulk describes crystalline Cd2InAgCl6 at its relaxed geometry. The functional is PBE-GGA.

Values from the calculation:
Symmetry = No. 15
E_form (uncorrected) = -879 meV per atom

Unit cell a=9.616 b=9.616 c=7.680 alpha=104.44 beta=104.44 gamma=87.18
Element x y z (fractional)
Cd (0.113, 0.263, 0.198)
Cd (0.263, 0.113, 0.698)
Cd (0.737, 0.887, 0.302)
Cd (0.887, 0.737, 0.802)
In (0.381, 0.619, 0.750)
In (0.619, 0.381, 0.250)
Ag (0.276, 0.724, 0.250)
Ag (0.724, 0.276, 0.750)
Cl (0.056, 0.189, 0.470)
Cl (0.116, 0.626, 0.937)
Cl (0.189, 0.056, 0.970)
Cl (0.311, 0.447, 0.328)
Cl (0.374, 0.884, 0.563)
Cl (0.447, 0.311, 0.828)
Cl (0.553, 0.689, 0.172)
Cl (0.626, 0.116, 0.437)
Cl (0.689, 0.553, 0.672)
Cl (0.811, 0.944, 0.030)
Cl (0.884, 0.374, 0.063)
Cl (0.944, 0.811, 0.530)

# 7
This record from Alexandria via LeMat-Bulk describes crystalline CdIn2AgCl at its relaxed geometry. The functional is PBE-GGA.

Values from the calculation:
Symmetry = No. 123
E_form (uncorrected) = 262 meV per atom

Unit cell a=5.775 b=5.775 c=5.010 alpha=90.00 beta=90.00 gamma=90.00
Element x y z (fractional)
Cd (0.000, 0.000, 0.000)
In (0.000, 0.500, 0.500)
In (0.500, 0.000, 0.500)
Ag (0.500, 0.500, 0.000)
Cl (0.500, 0.500, 0.500)

# 8
This record from Alexandria via LeMat-Bulk describes crystalline CdAgIrCl6 at its relaxed geometry. The functional is PBE-GGA.

Values from the calculation:
Symmetry = No. 163
E_form (uncorrected) = -657 meV per atom

Unit cell a=6.548 b=6.548 c=11.704 alpha=90.00 beta=90.00 gamma=120.00
Element x y z (fractional)
Cd (0.333, 0.667, 0.250)
Cd (0.667, 0.333, 0.750)
Ag (0.000, 0.000, 0.000)
Ag (0.000, 0.000, 0.500)
Ir (0.333, 0.667, 0.750)
Ir (0.667, 0.333, 0.250)
Cl (0.035, 0.375, 0.633)
Cl (0.035, 0.660, 0.867)
Cl (0.340, 0.375, 0.867)
Cl (0.340, 0.965, 0.633)
Cl (0.375, 0.035, 0.133)
Cl (0.375, 0.340, 0.367)
Cl (0.625, 0.660, 0.633)
Cl (0.625, 0.965, 0.867)
Cl (0.660, 0.035, 0.367)
Cl (0.660, 0.625, 0.133)
Cl (0.965, 0.340, 0.133)
Cl (0.965, 0.625, 0.367)

Q: Which total moment values were calculated for the entries above? A: 9.00 0.00 0.00 0.00 0.00 0.00 0.00 0.00, in μB/f.u..
Q: Which E_tot values were calculated for the entries above? A: -43.89 -29.42 -24.45 -65.03 -33.81 -54.57 -9.78 -59.24, in eV per cell.